Tb2Nd2YTm (PBE, relaxed); density of states at the Fermi level = 19.26 states/eV/cell; energy of formation from the pure elements = 0.84 eV/f.u.; space group = No. 11
1.0
6.8100 0.0000 0.0000
0.0000 8.7321 1.8382
0.0000 -1.8753 6.3001
Tb Nd Y Tm
4 4 2 2
Cartesian
3.4066 5.6789 6.7809 Tb
3.4035 1.1779 1.3574 Tb
6.8085 5.6789 6.7809 Tb
0.0015 1.1779 1.3574 Tb
5.1075 3.4377 3.4664 Nd
1.7025 0.0476 4.5363 Nd
1.7025 3.4191 4.6720 Nd
5.1075 6.8092 3.6020 Nd
5.1075 0.0626 4.5386 Y
1.7025 6.7942 3.5997 Y
5.1075 2.6347 6.7239 Tm
1.7025 4.2221 1.4145 Tm



TbNd2YTm5 (PBE, relaxed); density of states at the Fermi level = 21.63 states/eV/cell; energy of formation from the pure elements = 2.42 eV/f.u.; space group = No. 140
1.0
8.5988 0.0000 0.0000
0.0000 8.5988 0.0000
-4.2994 -4.2994 7.7583
Tm Nd Tb Y
10 4 2 2
Cartesian
6.1305 6.7677 2.1692 Tm
2.4683 1.8311 2.1692 Tm
0.0000 0.0000 0.0000 Tm
1.8311 2.4683 5.5891 Tm
-2.4683 1.8311 5.5891 Tm
6.7677 2.4683 2.1692 Tm
1.8311 6.1305 2.1692 Tm
4.2994 4.2994 0.0000 Tm
2.4683 -1.8311 5.5891 Tm
-1.8311 -2.4683 5.5891 Tm
3.2902 7.5896 0.0000 Nd
1.0092 3.2902 0.0000 Nd
7.5896 5.3086 0.0000 Nd
5.3086 1.0092 0.0000 Nd
0.0000 0.0000 3.8791 Tb
4.2994 4.2994 3.8791 Tb
4.2994 0.0000 3.8791 Y
0.0000 4.2994 3.8791 Y



TbNdYTm (PBE, relaxed); density of states at the Fermi level = 8.51 states/eV/cell; energy of formation from the pure elements = 0.52 eV/f.u.; space group = No. 216
1.0
5.7023 0.0000 0.0000
2.8512 4.9383 0.0000
2.8512 1.6461 4.6559
Tm Y Tb Nd
1 1 1 1
Cartesian
0.0000 0.0000 0.0000 Tm
8.5535 4.9383 3.4919 Y
5.7023 3.2922 2.3280 Tb
2.8512 1.6461 1.1640 Nd



| no. | total energy (eV per atom) |
| --- | --- |
| 1 | -4.815 |
| 2 | -4.507 |
| 3 | -4.954 |